## CePa2Si6 (PBE)

Data for an optimized crystal structure of CePa2Si6.

CIF file:
```
data_CePa2Si6
_chemical_formula_sum 'Ce1 Pa2 Si6'
_symmetry_space_group_name_H-M 'P 6/m m m'
_symmetry_Int_Tables_number 191
_symmetry_space_group_name_Hall '-P 6 2'
_cell_length_a 7.0278
_cell_length_b 7.0278
_cell_length_c 3.9846
_cell_angle_alpha 90.00
_cell_angle_beta 90.00
_cell_angle_gamma 120.00
loop_
_atom_site_label
_atom_site_fract_x
_atom_site_fract_y
_atom_site_fract_z
Ce1 0.0000 0.0000 0.0000
Pa1 0.3333 0.6667 0.0000
Si1 0.0000 0.3348 0.5000
```

Calculated values
magnetic moment	0.0	Bohr magnetons per cell
total DFT energy (no corrections)	-6.95	eV/atom
Fermi-level density of states	10.7	states/eV per cell
uncorrected formation energy	-0.57	eV/atom